{
  "formula": "Y3CdC",
  "functional": "GGA-PBEsol",
  "state": "relaxed",
  "dft_energy_ev_per_fu": -33.199,
  "spacegroup": "Imma, No. 74",
  "m_tot_mub_per_fu": 0.00,
  "formation_energy_ev_per_atom": -0.3783,
  "cell": [[-3.456, 4.816, 3.443], [3.456, -4.816, 3.443], [3.456, 4.816, -3.443]],
  "species": ["Y", "Y", "Y", "Y", "Y", "Y", "Cd", "Cd", "C", "C"],
  "fractional_positions": [[0.220, 0.000, 0.720], [0.220, 0.500, 0.220], [0.311, 0.061, 0.250], [0.689, 0.939, 0.750], [0.780, 0.000, 0.280], [0.780, 0.500, 0.780], [0.246, 0.496, 0.750], [0.754, 0.504, 0.250], [0.000, 0.000, 0.000], [0.500, 0.000, 0.500]]
}